Compound: Sr3AgP4
Source: OQMD via LeMat-Bulk
Functional: PBE
Structure: optimized geometry

Cell lengths 6.0069, 6.0069, 6.0069 Å; angles 90.00, 90.00, 90.00 degrees
With the nearest neighbours (Å) after each atom.
Element x y z (fractional)
Ag1 0.0000 0.0000 0.0000  6 P 3.00
P1 0.5000 0.0000 0.0000  4 Sr 3.00, 2 Ag 3.00
P2 0.0000 0.5000 0.0000  4 Sr 3.00, 2 Ag 3.00
P3 0.0000 0.0000 0.5000  2 Ag 3.00, 4 Sr 3.00
P4 0.5000 0.5000 0.5000  6 Sr 3.00
Sr1 0.5000 0.5000 0.0000  6 P 3.00
Sr2 0.5000 0.0000 0.5000  6 P 3.00
Sr3 0.0000 0.5000 0.5000  6 P 3.00

## Properties
- Calculated total energy: -31.31 eV/f.u.